# 1
First-principles (PBE-GGA) data for V4FeRe2 after structural relaxation, as listed in the Alexandria database.

Unit cell a=4.2179 b=4.2179 c=12.3728 alpha=90.00 beta=90.00 gamma=90.00
Space group I4/mmm (No. 139)
Unique sites:
V (0.0000, 0.0000, 0.1862)
V (0.0000, 0.5000, 0.0000)
Fe (0.0000, 0.0000, 0.0000)
Re (0.0000, 0.0000, 0.3763)

Computed properties:
N(E_F) in states/eV/f.u.: 9.73
VASP energy in eV per formula unit: -63.9
Formation energy in eV/atom: 0.85
Volume in Å³ per cell: 220.1

=====

# 2
First-principles (PBE-GGA) data for Tb3TlRu after structural relaxation, as listed in the Alexandria database.

Unit cell a=5.3283 b=5.3283 c=5.3283 alpha=90.00 beta=90.00 gamma=90.00
Space group Pm-3m (No. 221)
Unique sites:
Tb (0.0000, 0.0000, 0.5000)
Tl (0.5000, 0.5000, 0.5000)
Ru (0.0000, 0.0000, 0.0000)

Computed properties:
N(E_F) in states/eV/f.u.: 3.35
VASP energy in eV per formula unit: -26.3
Formation energy in eV/atom: -0.15
Volume in Å³ per cell: 151.3

=====

# 3
First-principles (PBE-GGA) data for Na2Sn2Ge after structural relaxation, as listed in the Alexandria database.

Unit cell a=4.5278 b=4.5278 c=26.1469 alpha=90.00 beta=90.00 gamma=90.00
Space group I4_1/amd (No. 141, origin choice 2)
Unique sites:
Na (0.0000, 0.2500, 0.0452)
Sn (0.0000, 0.2500, 0.1896)
Ge (0.0000, 0.2500, 0.3750)

Computed properties:
N(E_F) in states/eV/f.u.: 1.82
VASP energy in eV per formula unit: -15.6
Formation energy in eV/atom: -0.07
Volume in Å³ per cell: 536.0

=====

# 4
First-principles (PBE-GGA) data for KSbI2 after structural relaxation, as listed in the Alexandria database.

Unit cell a=5.4104 b=5.4104 c=27.0228 alpha=90.00 beta=90.00 gamma=120.00
Space group R-3m (No. 166, hexagonal axes)
Unique sites:
K (0.0000, 0.0000, 0.0000)
Sb (0.0000, 0.0000, 0.5000)
I (0.0000, 0.0000, 0.1209)

Computed properties:
N(E_F) in states/eV/f.u.: 2.27
Formation energy without anion corrections in meV/atom: -157
VASP energy in eV per formula unit: -8.9
Volume in Å³ per cell: 685.0

=====

# 5
First-principles (PBE-GGA) data for TlTc2Sb after structural relaxation, as listed in the Alexandria database.

Unit cell a=3.2438 b=4.4104 c=5.3112 alpha=90.00 beta=90.00 gamma=90.00
Space group Pmmm (No. 47)
Unique sites:
Tl (0.0000, 0.0000, 0.0000)
Tc (0.0000, 0.5000, 0.5000)
Tc (0.5000, 0.5000, 0.0000)
Sb (0.5000, 0.0000, 0.5000)

Computed properties:
N(E_F) in states/eV/f.u.: 5.61
Formation energy without anion corrections in meV/atom: 772
VASP energy in eV per formula unit: -24.1
Volume in Å³ per cell: 76.0

=====

# 6
First-principles (PBE-GGA) data for NbAl3F after structural relaxation, as listed in the Alexandria database.

Unit cell a=5.1502 b=5.1502 c=5.1502 alpha=90.00 beta=90.00 gamma=90.00
Space group Pm-3m (No. 221)
Unique sites:
Nb (0.0000, 0.0000, 0.0000)
Al (0.0000, 0.0000, 0.5000)
F (0.5000, 0.5000, 0.5000)

Computed properties:
N(E_F) in states/eV/f.u.: 4.83
Formation energy without anion corrections in meV/atom: 631
VASP energy in eV per formula unit: -20.0
Volume in Å³ per cell: 136.6

=====

Which of these has the lowest N(E_F)? Na2Sn2Ge